PBE-GGA Li2DySc3Se6, optimized geometry; uncorrected formation energy = -1.648 eV per atom; magnetization = 0.0 μB per formula unit; space group = C2/m (12); DOS(E_F) = 3.5 states/eV per cell
1.0
-6.133 2.776 0.118
2.524 -2.346 -5.785
-1.401 -5.957 3.113
Se Li Sc Dy
6 2 3 1
Direct
0.256 0.256 0.745
0.085 0.426 0.256
0.744 0.744 0.255
0.574 0.915 0.744
0.915 0.574 0.744
0.426 0.085 0.256
0.332 0.668 0.000
0.668 0.332 0.000
0.165 0.835 0.500
0.835 0.165 0.500
0.500 0.500 0.500
0.000 0.000 0.000



PBE-GGA AsIr2Au, optimized geometry; magnetization = 0.0 μB per formula unit; space group = Cm (8); DOS(E_F) = 1.7 states/eV per cell; energy of formation = 0.2598 eV per atom
1.0
-4.620 0.955 2.465
-2.782 0.174 4.534
-0.588 4.641 2.275
Ir As Au
2 1 1
Direct
0.740 0.740 0.843
0.019 0.019 0.852
0.467 0.467 0.515
0.274 0.274 0.290